DFT (PBE-GGA) results for a relaxed Nd3YTl2 crystal.

Structure (POSCAR):
```
Nd3YTl2
1.0
5.2451 0.0000 0.0000
0.0000 6.8945 0.0000
0.0000 0.0000 10.3032
Tl Nd Y
4 6 2
direct
0.0000 0.7960 0.3661
0.0000 0.2960 0.6339
0.5000 0.7067 0.8620
0.5000 0.2067 0.1380
0.0000 0.8188 0.6802
0.5000 0.1835 0.8116
0.5000 0.6835 0.1884
0.0000 0.4498 0.9595
0.0000 0.3188 0.3198
0.0000 0.9498 0.0405
0.5000 0.0452 0.4586
0.5000 0.5452 0.5414
```

The calculation puts the energy relative to the elements at -26.8 kJ per mole of atoms. The symmetry is Pmc2_1 (26). The value obtained for the total energy is -4.528 eV per atom.

---

DFT (PBE-GGA) results for a relaxed Tb4Pm6Zr crystal.

Structure (POSCAR):
```
Tb4Pm6Zr
1.0
8.7614 0.0000 0.0000
0.0000 8.7614 0.0000
0.0000 0.0000 9.2749
Pm Tb Zr
12 8 2
direct
0.3520 0.8437 0.0000
0.8520 0.6563 0.5000
0.5000 0.5000 0.6769
0.0000 0.0000 0.1769
0.0000 0.0000 0.8231
0.6480 0.1563 0.0000
0.6563 0.1480 0.5000
0.3437 0.8520 0.5000
0.1480 0.3437 0.5000
0.8437 0.6480 0.0000
0.5000 0.5000 0.3231
0.1563 0.3520 0.0000
0.6466 0.8534 0.2500
0.1466 0.6466 0.7500
0.8534 0.3534 0.7500
0.8534 0.3534 0.2500
0.1466 0.6466 0.2500
0.3534 0.1466 0.2500
0.3534 0.1466 0.7500
0.6466 0.8534 0.7500
0.0000 0.0000 0.5000
0.5000 0.5000 0.0000
```

The calculation puts the energy relative to the elements at 14.8 kJ per mole of atoms. The symmetry is P4/mnc (128). The value obtained for the total energy is -4.899 eV per atom.

---

DFT (PBE-GGA) results for a relaxed LaVN3 crystal.

Structure (POSCAR):
```
LaVN3
1.0
-1.0423 -3.3139 -0.4666
4.8075 -4.6410 1.6090
-3.5095 0.4109 4.9438
N La V
6 2 2
direct
0.0514 0.7967 0.2435
0.3698 0.3176 0.0713
0.8205 0.4630 0.4815
0.5898 0.3226 0.8852
0.0337 0.9942 0.2406
0.0603 0.8137 0.6987
0.3423 0.0718 0.6099
0.6715 0.6730 0.9155
0.2182 0.5818 0.4171
0.9123 0.2554 0.1751
```

The calculation puts the uncorrected formation energy at -0.8723 eV per atom. The symmetry is P1 (1). The value obtained for the total energy is -8.677 eV per atom.

---

DFT (PBE-GGA) results for a relaxed KLiTl2Pb crystal.

Structure (POSCAR):
```
KLiTl2Pb
1.0
-5.2747 4.6072 -1.5207
-0.9021 -2.7613 -5.2368
-4.7865 -4.4358 3.1635
K Tl Li Pb
2 4 2 2
direct
0.7923 0.7500 0.5000
0.2077 0.2500 0.5000
0.7157 0.2500 0.7542
0.2843 0.7500 0.7542
0.7157 0.2500 0.2458
0.2843 0.7500 0.2458
0.0000 0.0000 0.0000
0.0000 0.5000 0.0000
0.3482 0.2500 0.0000
0.6518 0.7500 0.0000
```

The calculation puts the energy relative to the elements at -12.1 kJ per mole of atoms. The symmetry is Pmma (51). The value obtained for the total energy is -2.416 eV per atom.